DFT (PBE with a Hubbard U) results for a relaxed structure of LiNiP3O9.

## Properties
The polymorph energy (0 for the lowest one) comes out at 0 meV/atom. The value obtained for the calculated volume is 11.2 A^3/atom. As for the crystal system: orthorhombic. The total energy is -377.76 eV per cell. For the total magnetization, the calculation gives 1.9 μB/f.u.

Unit cell a=8.422 b=8.588 c=8.694 alpha=90.00 beta=90.00 gamma=90.00
Last column: magnetic moment on the atom in μB.
Element x y z (fractional)
O: 0.366 0.192 0.122  0.01
P: 0.684 0.979 0.810  0.01
O: 0.104 0.127 0.920  0.01
O: 0.896 0.627 0.580  0.01
Li: 0.348 0.134 0.883  0.00
O: 0.811 0.410 0.345  0.01
O: 0.090 0.385 0.133  0.01
Ni: 0.630 0.354 0.843  1.81
O: 0.660 0.363 0.600  0.01
O: 0.860 0.034 0.763  0.00
Ni: 0.370 0.854 0.657  1.81
O: 0.460 0.774 0.152  0.00
O: 0.640 0.966 0.263  0.00
O: 0.604 0.373 0.080  0.01
Ni: 0.130 0.146 0.157  1.81
P: 0.797 0.689 0.942  0.01
O: 0.910 0.885 0.367  0.01
O: 0.634 0.692 0.378  0.01
P: 0.203 0.189 0.558  0.01
O: 0.311 0.090 0.655  0.01
Li: 0.652 0.634 0.617  0.00
P: 0.470 0.321 0.183  0.01
Li: 0.848 0.366 0.117  0.00
O: 0.360 0.466 0.237  0.00
O: 0.960 0.726 0.848  0.00
O: 0.590 0.115 0.867  0.01
P: 0.030 0.679 0.683  0.01
P: 0.316 0.479 0.690  0.01
O: 0.724 0.863 0.953  0.00
O: 0.340 0.863 0.900  0.01
O: 0.396 0.873 0.420  0.01
O: 0.116 0.616 0.320  0.01
O: 0.689 0.590 0.845  0.01
O: 0.134 0.808 0.622  0.01
P: 0.703 0.311 0.442  0.01
P: 0.970 0.179 0.817  0.01
O: 0.840 0.637 0.100  0.01
O: 0.776 0.137 0.453  0.00
O: 0.040 0.226 0.652  0.00
P: 0.816 0.021 0.310  0.01
O: 0.866 0.308 0.878  0.01
P: 0.530 0.821 0.317  0.01
Li: 0.152 0.866 0.383  0.00
O: 0.540 0.274 0.348  0.00
O: 0.410 0.615 0.633  0.01
O: 0.616 0.884 0.680  0.01
O: 0.384 0.384 0.820  0.01
O: 0.189 0.910 0.155  0.01
P: 0.297 0.811 0.058  0.01
Ni: 0.870 0.646 0.343  1.81
P: 0.184 0.521 0.190  0.01
O: 0.884 0.116 0.180  0.01
O: 0.224 0.637 0.047  0.00
O: 0.160 0.137 0.400  0.01
O: 0.140 0.534 0.737  0.00
O: 0.276 0.363 0.547  0.00